[1]
Compound: La2SiIr
Source: the Alexandria database
Functional: GGA-PBE
Structure: optimized geometry

Its formation energy (no corrections) is -415 meV per atom. The total magnetization comes out at 0.00 μB/f.u. The volume is 27.7 A^3/atom. The raw total energy is -6.45 eV per atom.

The space group is P4mm (No. 99) and the conventional cell measures 4.300, 4.300 and 5.985 Å, with angles of 90.00, 90.00 and 90.00 degrees. Symmetry generates all atoms from La at (0.000, 0.000, 0.000), La at (0.500, 0.500, 0.497), Si at (0.000, 0.000, 0.500) and Ir at (0.500, 0.500, 0.000).

***

[2]
Compound: NaCrSeS
Source: the Alexandria database
Functional: GGA-PBE
Structure: optimized geometry

Its formation energy (no corrections) is -860 meV per atom. The total magnetization comes out at 3.00 μB/f.u. The volume is 19.7 A^3/atom. The raw total energy is -5.50 eV per atom.

The space group is R3m (No. 160, hexagonal axes) and the conventional cell measures 3.6718, 3.6718 and 20.2498 Å, with angles of 90.00, 90.00 and 120.00 degrees. Symmetry generates all atoms from Na at (0.0000, 0.0000, 0.0000), Cr at (0.0000, 0.0000, 0.8226), Se at (0.0000, 0.0000, 0.2257) and S at (0.0000, 0.0000, 0.4280).

***

[3]
Compound: NbHPt2Rh
Source: the Alexandria database
Functional: GGA-PBE
Structure: optimized geometry

Its energy above the most stable polymorph in this dataset is 0.00 kcal/mol of atoms. The total magnetization comes out at 0.69 μB/f.u. The volume is 13.1 A^3/atom. The raw total energy is -6.85 eV per atom.

The space group is P4/mmm (No. 123) and the conventional cell measures 3.999, 3.999 and 4.099 Å, with angles of 90.00, 90.00 and 90.00 degrees. Symmetry generates all atoms from Nb at (0.000, 0.000, 0.000), H at (0.500, 0.500, 0.500), Pt at (0.000, 0.500, 0.500) and Rh at (0.500, 0.500, 0.000).

***

[4]
Compound: Ba2Sr2Ga2H
Source: the Alexandria database
Functional: GGA-PBE
Structure: optimized geometry

The total magnetization comes out at 0.00 μB/f.u. The volume is 35.2 A^3/atom. The raw total energy is -2.63 eV per atom.

The space group is C2/m (No. 12) and the conventional cell measures 14.569, 4.881 and 8.568 Å, with angles of 90.00, 126.00 and 90.00 degrees. Symmetry generates all atoms from Ba at (0.050, 0.000, 0.307), Sr at (0.205, 0.500, 0.123), Ga at (0.110, 0.500, 0.648) and H at (0.000, 0.500, 0.000).

***

[5]
Compound: Cs2BaCuBr6
Source: the Alexandria database
Functional: GGA-PBE
Structure: optimized geometry

Its formation energy (no corrections) is -1394 meV per atom. Its energy above the most stable polymorph in this dataset is 0.00 kcal/mol of atoms. The total magnetization comes out at 1.00 μB/f.u. The volume is 38.5 A^3/atom. The raw total energy is -3.17 eV per atom.

The space group is I4/mmm (No. 139) and the conventional cell measures 8.170, 8.170 and 11.527 Å, with angles of 90.00, 90.00 and 90.00 degrees. Symmetry generates all atoms from Cs at (0.000, 0.500, 0.250), Ba at (0.000, 0.000, 0.000), Cu at (0.000, 0.000, 0.500), Br at (0.000, 0.000, 0.274) and Br at (0.227, 0.227, 0.500).

***

[6]
Compound: PrEu2Ho
Source: the Alexandria database
Functional: GGA-PBE
Structure: optimized geometry

Its energy above the most stable polymorph in this dataset is 0.00 kcal/mol of atoms. The total magnetization comes out at 15.21 μB/f.u. The volume is 36.5 A^3/atom. The calculation puts the formation enthalpy at 0 K at 2.1 kcal/mol of atoms. The raw total energy is -7.39 eV per atom.

The space group is R-3m (No. 166, hexagonal axes) and the conventional cell measures 3.7041, 3.7041 and 36.8492 Å, with angles of 90.00, 90.00 and 120.00 degrees. Symmetry generates all atoms from Pr at (0.0000, 0.0000, 0.0000), Eu at (0.0000, 0.0000, 0.2482) and Ho at (0.0000, 0.0000, 0.5000).